ZrTcIr: optimized geometry, PBE.

The calculation puts the formation energy at -0.367 eV per atom. Its space group is C2/m. The value obtained for the energy relative to the lowest polymorph listed for this composition is 0.170 eV per atom.

a b c (Å): 5.471 4.339 8.680
angles (deg): 90.00 101.59 90.00
Positions (direct):
Ir1 0.669 0.000 0.317
Zr1 0.187 0.000 0.356
Tc1 0.500 0.000 0.000
Ir2 0.331 0.000 0.683
Ir3 0.331 0.500 0.183
Tc2 0.000 0.500 0.500
Tc3 0.000 0.000 0.000
Ir4 0.669 0.500 0.817
Zr2 0.187 0.500 0.856
Zr3 0.813 0.500 0.144
Tc4 0.500 0.500 0.500
Zr4 0.813 0.000 0.644

=====

ZrTcIr: optimized geometry, PBE.

The calculation puts the formation energy at -0.374 eV per atom. Its space group is C2/m. The value obtained for the energy relative to the lowest polymorph listed for this composition is 0.162 eV per atom.

a b c (Å): 5.690 4.077 9.333
angles (deg): 90.00 109.06 90.00
Positions (direct):
Zr1 0.832 0.500 0.136
Zr2 0.168 0.500 0.864
Tc1 0.382 0.000 0.688
Zr3 0.832 0.000 0.636
Tc2 0.618 0.500 0.812
Ir1 0.000 0.000 0.000
Ir2 0.500 0.000 0.000
Zr4 0.168 0.000 0.364
Tc3 0.618 0.000 0.312
Ir3 0.500 0.500 0.500
Ir4 0.000 0.500 0.500
Tc4 0.382 0.500 0.188

=====

Zr2TcIr: optimized geometry, PBE.

The calculation puts the formation energy at 0.398 eV per atom. Its space group is Immm.

a b c (Å): 5.947 5.947 5.947
angles (deg): 58.69 152.07 129.51
Positions (direct):
Ir1 0.000 0.500 0.500
Zr1 0.000 0.748 0.748
Zr2 0.000 0.252 0.252
Tc1 0.000 0.000 0.000

=====

Please write out number 2 again, unchanged.
ZrTcIr: optimized geometry, PBE.

The calculation puts the formation energy at -0.374 eV per atom. Its space group is C2/m. The value obtained for the energy relative to the lowest polymorph listed for this composition is 0.162 eV per atom.

a b c (Å): 5.690 4.077 9.333
angles (deg): 90.00 109.06 90.00
Positions (direct):
Zr1 0.832 0.500 0.136
Zr2 0.168 0.500 0.864
Tc1 0.382 0.000 0.688
Zr3 0.832 0.000 0.636
Tc2 0.618 0.500 0.812
Ir1 0.000 0.000 0.000
Ir2 0.500 0.000 0.000
Zr4 0.168 0.000 0.364
Tc3 0.618 0.000 0.312
Ir3 0.500 0.500 0.500
Ir4 0.000 0.500 0.500
Tc4 0.382 0.500 0.188